## Ac2CdAu2O6 (PBE-GGA)

Data for Ac2CdAu2O6 after structural relaxation.

```
data_Ac2CdAu2O6
_chemical_formula_sum 'Ac6 Cd3 Au6 O18'
_cell_length_a 6.2646
_cell_length_b 6.2646
_cell_length_c 17.0895
_cell_angle_alpha 90.00
_cell_angle_beta 90.00
_cell_angle_gamma 120.00
_space_group_name_H-M_alt 'R -3 m'
_space_group_IT_number 166
_space_group_name_Hall '-R 3 2"'
loop_
_atom_site_label
_atom_site_type_symbol
_atom_site_fract_x
_atom_site_fract_y
_atom_site_fract_z
Ac1 Ac 0.0000 0.0000 0.2096
Cd1 Cd 0.0000 0.0000 0.0000
Au1 Au 0.0000 0.0000 0.4145
O1 O 0.0490 0.5245 0.7654
```

## Properties
The total energy is -5.428 eV per atom.